Record 1
Computed, not measured: Zr2AlSe after structural relaxation at the PBE-GGA level of DFT.

Lattice parameters (Å, degrees): 7.5002 7.5002 7.5002 153.24 153.14 38.28
With the nearest neighbours (Å) after each atom.
Fractional coordinates of all 4 atoms:
Zr (0.9424, 0.9424, 0.0000)  2 Se 2.73, 4 Al 2.92
Zr (0.2108, 0.7108, 0.5000)  4 Se 2.72, 2 Al 2.83
Al (0.5536, 0.5536, 0.0000)  6 Zr 2.83-2.92
Se (0.7933, 0.2933, 0.5000)  6 Zr 2.72-2.73

Summary:
Volume, Å³ per cell: 85.7

Record 2
Computed, not measured: HfTlSN2 after structural relaxation at the PBE-GGA level of DFT.

Lattice parameters (Å, degrees): 4.1349 4.1349 5.1407 90.00 90.00 90.00
With the nearest neighbours (Å) after each atom.
Fractional coordinates of all 5 atoms:
Tl (0.0000, 0.0000, 0.0000)  4 N 2.07
Hf (0.5000, 0.5000, 0.5000)  4 S 2.92
N (0.5000, 0.0000, 0.0000)  2 Tl 2.07
N (0.0000, 0.5000, 0.0000)  2 Tl 2.07
S (0.0000, 0.0000, 0.5000)  2 Tl 2.57

Summary:
Volume, Å³ per cell: 87.9

Excess energy over the best structure of this formula in the dataset for every record listed, in sequence, given in meV per atom: 74.1; 1399.7.
Formation energy without anion corrections for every record listed, in sequence, given in eV/atom: -0.618; 1.491.